No. 1
VASP calculation (PBE) on crystalline PaZn2Co2H at its relaxed geometry.

Structure (extended XYZ):
```
6
Lattice="3.567 0.000 0.000 0.000 3.567 0.000 -1.784 -1.784 6.545" Properties=species:S:1:pos:R:3 pbc="T T T"
Zn 1.784 0.000 3.273
Zn 0.000 1.784 3.273
H 0.000 0.000 0.000
Pa 1.784 1.784 0.000
Co 0.000 0.000 1.500
Co 1.784 1.784 5.045
```

Values from the calculation:
symmetry	I4/mmm
electronic total energy	-4.9651	eV/atom
V	13.88	Å³/atom



No. 2
VASP calculation (PBE) on crystalline AsP2RhO at its relaxed geometry.

Structure (extended XYZ):
```
5
Lattice="4.794 0.000 0.000 0.000 4.794 0.000 0.000 0.000 3.689" Properties=species:S:1:pos:R:3 pbc="T T T"
P 2.397 0.000 0.000
P 0.000 2.397 0.000
Rh 0.000 0.000 0.000
O 0.000 0.000 1.844
As 2.397 2.397 1.844
```

Values from the calculation:
symmetry	P4/mmm
energy above the most stable polymorph in this dataset	0	meV/atom
formation energy without anion corrections	0.32	eV/atom
electronic total energy	-5.2395	eV/atom
V	16.95	Å³/atom



No. 3
VASP calculation (PBE) on crystalline CeSmEu at its relaxed geometry.

Structure (extended XYZ):
```
3
Lattice="-2.837 -2.247 -0.112 2.041 -2.496 -1.648 2.456 -0.576 7.890" Properties=species:S:1:pos:R:3 pbc="T T T"
Eu 1.645 -5.298 6.082
Sm 0.327 -3.409 1.589
Ce 1.347 -1.929 4.589
```

Values from the calculation:
symmetry	I4mm
electronic total energy	-6.8553	eV/atom
V	34.43	Å³/atom
energy relative to the elements	0.12	eV/atom



No. 4
VASP calculation (PBE) on crystalline Tm2CdAgPd4 at its relaxed geometry.

Structure (extended XYZ):
```
8
Lattice="-1.606 3.889 -2.187 -4.648 0.936 -0.064 -1.376 5.574 5.782" Properties=species:S:1:pos:R:3 pbc="T T T"
Pd -4.081 3.710 -0.689
Pd -1.639 4.100 3.353
Pd -5.991 6.300 0.178
Pd -3.549 6.689 4.220
Tm -1.903 2.626 0.926
Tm -5.727 7.773 2.605
Cd 0.000 0.000 0.000
Ag -3.815 5.200 1.766
```

Values from the calculation:
symmetry	R-3m
electronic total energy	-4.8976	eV/atom
V	18.68	Å³/atom
energy relative to the elements	-0.71	eV/atom



Which of these has the lowest electronic total energy? CeSmEu



What is the electronic total energy in the fourth record? -4.8976 eV/atom